# 1
Material: KAc4Sn5
Method: DFT, PBE
State: optimized geometry

* size of the total moment: 0.00 Bohr magnetons per cell
* ΔE_f: -0.498 eV per atom
* crystal system: tetragonal
* SG: No. 123

Cell and atoms, written as POSCAR:
```
KAc4Sn5
1.0
4.335 0.000 0.000
0.000 4.335 0.000
0.000 0.000 18.975
K Ac Sn
1 4 5
Cartesian
0.000 0.000 0.000
0.000 0.000 3.937
0.000 0.000 7.605
0.000 0.000 11.369
0.000 0.000 15.037
2.168 2.168 2.420
2.168 2.168 5.715
2.168 2.168 9.487
2.168 2.168 13.259
2.168 2.168 16.555
```


# 2
Material: CeNdSb2Rh5
Method: DFT, PBE
State: optimized geometry

* total DFT energy (no corrections): -0.2407 Ha/atom
* size of the total moment: 0.00 Bohr magnetons per cell
* crystal system: tetragonal
* SG: No. 123

Cell and atoms, written as POSCAR:
```
CeNdSb2Rh5
1.0
4.054 0.000 0.000
0.000 4.054 0.000
0.000 0.000 12.266
Ce Nd Sb Rh
1 1 2 5
Cartesian
0.000 0.000 0.000
2.027 2.027 6.133
0.000 0.000 3.562
0.000 0.000 8.704
0.000 0.000 6.133
0.000 2.027 1.913
0.000 2.027 10.353
2.027 0.000 1.913
2.027 0.000 10.353
```


# 3
Material: La2PrDy2Er2
Method: DFT, PBE
State: optimized geometry

* size of the total moment: 0.00 Bohr magnetons per cell
* ΔE_f: 0.030 eV per atom
* crystal system: monoclinic
* SG: No. 12

Cell and atoms, written as POSCAR:
```
La2PrDy2Er2
1.0
5.715 -2.549 0.000
5.715 2.549 0.000
-1.149 0.000 8.053
La Pr Dy Er
2 1 2 2
Cartesian
1.131 0.000 3.439
9.150 0.000 4.614
0.000 0.000 0.000
2.255 0.000 6.932
8.026 0.000 1.121
4.576 0.000 2.274
5.704 0.000 5.778
```